DFT (GGA+U) results for crystalline LiNiOF2 at its relaxed geometry.

Summary:
The value obtained for the calculated total energy is -3.78 eV/atom. The calculation puts the calculated density at 4.1 g/cm³.

a b c (Å): 3.485 3.485 4.034
angles (deg): 90.00 90.00 90.00
Space group P4/mmm (No. 123)
Asymmetric unit:
Li 0.000 0.000 0.000 [1 per cell]
Ni 0.500 0.500 0.500 [1 per cell]
O 0.000 0.000 0.500 [1 per cell]
F 0.000 0.500 0.000 [2 per cell]